3
Lattice="4.326 0.000 0.000 -2.163 3.747 0.000 0.000 0.000 2.961" Properties=species:S:1:pos:R:3 comment="CrTcTe PBE-GGA optimized geometry" de_polymorph_mev_per_atom=570.8 dos_at_fermi_per_ev_atom=1.118 space_group="P3m1, No. 156" pbc="T T T"
Te 2.163 1.249 2.485
Cr 0.000 0.000 2.447
Tc 0.000 2.498 0.989